The following is a GGA+U calculation of a relaxed structure of BeCrGaO4, from Alexandria.

Structure (POSCAR):
```
BeCrGaO4
1.0
2.736 -4.179 0.000
2.736 4.179 0.000
0.000 0.000 5.881
Be Cr Ga O
2 2 2 8
Cartesian
2.736 2.876 4.411
2.736 -2.876 1.470
2.736 0.000 0.000
2.736 0.000 2.941
2.736 2.869 1.470
2.736 -2.869 4.411
1.305 0.123 1.470
1.305 -0.123 4.411
2.736 1.997 3.083
2.736 1.997 5.739
2.736 -1.997 0.142
2.736 -1.997 2.799
4.166 0.123 1.470
4.166 -0.123 4.411
```

Values from the calculation:
Final energy in eV per formula unit: -48.71
SG: No. 63